[1]
Material: Li5Mn3Sb2O10
Method: DFT, GGA+U
State: relaxed

Output
space-group type	P-1

Unit cell a=5.4142 b=5.4312 c=8.3181 alpha=101.68 beta=108.24 gamma=100.86
Fractional coordinates of all 20 atoms:
1 Sb 0.7185 0.0959 0.6958
2 Sb 0.2815 0.9041 0.3042
3 O 0.3397 0.1408 0.5513
4 O 0.5196 0.7705 0.7512
5 O 0.2994 0.6784 0.0753
6 O 0.4804 0.2295 0.2488
7 O 0.6603 0.8592 0.4487
8 O 0.0885 0.0458 0.8399
9 O 0.0911 0.5742 0.3473
10 O 0.9115 0.9542 0.1601
11 O 0.7006 0.3216 0.9247
12 O 0.9089 0.4258 0.6527
13 Mn 0.1059 0.3120 0.1084
14 Mn 0.5000 0.0000 0.0000
15 Mn 0.8941 0.6880 0.8916
16 Li 0.1251 0.7536 0.6067
17 Li 0.8749 0.2464 0.3933
18 Li 0.7081 0.6329 0.2318
19 Li 0.5000 0.5000 0.5000
20 Li 0.2919 0.3671 0.7682


[2]
Material: Li3Mn3SbO8
Method: DFT, GGA+U
State: relaxed

Output
space-group type	R-3m

Unit cell a=6.1142 b=6.1142 c=6.1142 alpha=61.00 beta=61.00 gamma=61.00
Fractional coordinates of all 15 atoms:
1 O 0.2692 0.2692 0.2692
2 O 0.7693 0.2303 0.7693
3 O 0.7308 0.7308 0.7308
4 O 0.2307 0.7697 0.2307
5 O 0.7693 0.7693 0.2303
6 O 0.7697 0.2307 0.2307
7 O 0.2307 0.2307 0.7697
8 O 0.2303 0.7693 0.7693
9 Mn 0.0000 0.5000 0.5000
10 Mn 0.5000 0.5000 0.0000
11 Mn 0.5000 0.0000 0.5000
12 Li 0.0000 0.5000 0.0000
13 Li 0.0000 0.0000 0.5000
14 Li 0.5000 0.0000 0.0000
15 Sb 0.0000 0.0000 0.0000


[3]
Material: Li4Mn3SbO8
Method: DFT, GGA+U
State: relaxed

Output
space-group type	Pc

Unit cell a=6.1720 b=8.5701 c=6.3167 alpha=90.00 beta=90.01 gamma=91.56
Fractional coordinates of all 32 atoms:
1 O 0.7325 0.5062 0.2614
2 O 0.5125 0.7386 0.4925
3 O 0.4897 0.2651 0.4936
4 O 0.7649 0.9943 0.2328
5 O 0.2722 0.5114 0.7230
6 O 0.0382 0.7523 0.5349
7 O 0.7722 0.0113 0.7769
8 O 0.7346 0.4912 0.7201
9 O 0.9712 0.2469 0.5207
10 O 0.9897 0.7650 0.0064
11 O 0.5382 0.2523 0.9651
12 O 0.4712 0.7469 0.9794
13 O 0.2346 0.9911 0.7800
14 O 0.2650 0.4943 0.2672
15 O 0.0125 0.2386 0.0075
16 O 0.2324 0.0062 0.2386
17 Sb 0.0025 0.0021 0.0080
18 Sb 0.5026 0.5021 0.4921
19 Mn 0.2550 0.7510 0.7544
20 Mn 0.2428 0.7488 0.2524
21 Mn 0.7429 0.2487 0.2476
22 Mn 0.9969 0.9968 0.5053
23 Mn 0.4966 0.4968 0.9947
24 Mn 0.7550 0.2510 0.7456
25 Li 0.2251 0.2520 0.2838
26 Li 0.7249 0.7520 0.2158
27 Li 0.2594 0.2471 0.7554
28 Li 0.9996 0.4942 0.0550
29 Li 0.7596 0.7470 0.7443
30 Li 0.5026 0.0024 0.9792
31 Li 0.5001 0.9938 0.4452
32 Li 0.0026 0.5024 0.5208


[4]
Material: Li4Mn3Sn3Sb2O16
Method: DFT, GGA+U
State: relaxed

Output
space-group type	Cm

Unit cell a=6.2934 b=6.2934 c=9.9694 alpha=88.86 beta=88.86 gamma=59.44
Fractional coordinates of all 28 atoms:
1 Mn 0.6630 0.1755 0.2910
2 Mn 0.1755 0.6630 0.2910
3 Mn 0.8302 0.8302 0.7869
4 Sn 0.1744 0.1744 0.2854
5 Sn 0.3391 0.8317 0.7873
6 Sn 0.8317 0.3391 0.7873
7 O 0.5195 0.5195 0.6542
8 O 0.4754 0.0385 0.1412
9 O 0.3263 0.3263 0.3953
10 O 0.6586 0.6586 0.8972
11 O 0.1670 0.1670 0.9012
12 O 0.9566 0.5105 0.6510
13 O 0.8351 0.3477 0.4108
14 O 0.8337 0.8337 0.4164
15 O 0.1738 0.6645 0.9055
16 O 0.0096 0.0096 0.2021
17 O 0.3477 0.8351 0.4108
18 O 0.0385 0.4754 0.1412
19 O 0.5105 0.9566 0.6510
20 O 0.0053 0.0053 0.6922
21 O 0.6645 0.1738 0.9055
22 O 0.4806 0.4806 0.1435
23 Sb 0.6736 0.6736 0.5097
24 Sb 0.3425 0.3425 0.0193
25 Li 0.3237 0.3237 0.5891
26 Li 0.9870 0.9870 0.0213
27 Li 0.6608 0.6608 0.0980
28 Li 0.9957 0.9957 0.5062


[5]
Material: Li4Ti2Mn3Sb3O16
Method: DFT, GGA+U
State: relaxed

Output
space-group type	Cm

Unit cell a=6.2981 b=6.2981 c=9.8575 alpha=88.39 beta=88.39 gamma=58.86
Fractional coordinates of all 28 atoms:
1 O 0.1434 0.1434 0.8902
2 O 0.4747 0.0508 0.1508
3 O 0.6644 0.1723 0.9100
4 O 0.3505 0.8538 0.4047
5 O 0.8538 0.3505 0.4047
6 O 0.0186 0.0186 0.1989
7 O 0.3277 0.3277 0.3969
8 O 0.1723 0.6644 0.9100
9 O 0.4885 0.4885 0.1424
10 O 0.9423 0.5013 0.6533
11 O 0.8318 0.8318 0.4214
12 O 0.5036 0.5036 0.6638
13 O 0.9945 0.9945 0.6827
14 O 0.5013 0.9423 0.6533
15 O 0.6488 0.6488 0.8957
16 O 0.0508 0.4747 0.1508
17 Li 0.6730 0.6730 0.1034
18 Li 0.0040 0.0040 0.4980
19 Li 0.9903 0.9903 0.0163
20 Li 0.3157 0.3157 0.5981
21 Sb 0.1806 0.1806 0.2828
22 Sb 0.8204 0.3287 0.7817
23 Sb 0.3287 0.8204 0.7817
24 Ti 0.3650 0.3650 0.0289
25 Ti 0.6825 0.6825 0.4980
26 Mn 0.8221 0.8221 0.7893
27 Mn 0.1801 0.6692 0.2922
28 Mn 0.6692 0.1801 0.2922


[6]
Material: Li4Mn3V2Sb3O16
Method: DFT, GGA+U
State: relaxed

Output
space-group type	P1

Unit cell a=6.1437 b=6.0907 c=9.7381 alpha=90.73 beta=90.39 gamma=119.55
Fractional coordinates of all 28 atoms:
1 O 0.0193 0.0126 0.8078
2 O 0.3348 0.1703 0.6029
3 O 0.6849 0.8516 0.1006
4 O 0.0056 0.0053 0.3161
5 O 0.8584 0.1800 0.5918
6 O 0.9592 0.4718 0.3356
7 O 0.6602 0.3259 0.1033
8 O 0.0322 0.5205 0.8350
9 O 0.5195 0.0330 0.3387
10 O 0.4508 0.9624 0.8456
11 O 0.1674 0.8456 0.1049
12 O 0.4615 0.5103 0.8528
13 O 0.5131 0.4745 0.3374
14 O 0.8603 0.6725 0.5966
15 O 0.1574 0.3185 0.1016
16 O 0.3172 0.6575 0.6042
17 Li 0.0013 0.9830 0.5024
18 Li 0.6567 0.3321 0.8846
19 Li 0.9849 0.9616 0.9877
20 Li 0.3237 0.6540 0.4014
21 Mn 0.8302 0.6629 0.2149
22 Mn 0.6642 0.8374 0.7113
23 Mn 0.1715 0.8328 0.7129
24 V 0.6857 0.3512 0.4988
25 V 0.3379 0.6924 0.9757
26 Sb 0.3382 0.1702 0.2155
27 Sb 0.8316 0.1678 0.2138
28 Sb 0.1719 0.3424 0.7139


[7]
Material: Li4Mn3V3Sb2O16
Method: DFT, GGA+U
State: relaxed

Output
space-group type	P1

Unit cell a=5.7918 b=6.6271 c=11.8837 alpha=95.05 beta=88.11 gamma=124.20
Fractional coordinates of all 28 atoms:
1 Li 0.7619 0.8760 0.4200
2 Li 0.9527 0.2784 0.8486
3 Li 0.0209 0.9197 0.1248
4 Li 0.4240 0.3276 0.4883
5 O 0.2949 0.9401 0.5053
6 O 0.3696 0.6842 0.3547
7 O 0.6400 0.6688 0.0868
8 O 0.4799 0.5968 0.8569
9 O 0.2344 0.6315 0.6592
10 O 0.7013 0.6814 0.5585
11 O 0.0066 0.2053 0.5004
12 O 0.9545 0.4895 0.7120
13 O 0.0809 0.2345 0.1547
14 O 0.3990 0.2668 0.6712
15 O 0.3697 0.8960 0.1641
16 O 0.4833 0.2392 0.3329
17 O 0.8093 0.9832 0.7279
18 O 0.9452 0.7875 0.3035
19 O 0.6703 0.0617 0.9673
20 O 0.0714 0.5428 0.9869
21 Sb 0.0568 0.5370 0.4838
22 Sb 0.8204 0.3066 0.1017
23 V 0.5437 0.6030 0.7117
24 V 0.4545 0.7339 0.0024
25 V 0.2994 0.9201 0.3074
26 Mn 0.6406 0.1211 0.6330
27 Mn 0.4656 0.4794 0.2312
28 Mn 0.0489 0.9880 0.6126


[8]
Material: Li4MnSb2WO12
Method: DFT, GGA+U
State: relaxed

Output
space-group type	P1

Unit cell a=5.1313 b=5.4392 c=7.4827 alpha=85.48 beta=89.95 gamma=90.01
Fractional coordinates of all 20 atoms:
1 O 0.1272 0.9938 0.2460
2 O 0.8736 0.0040 0.7591
3 O 0.8279 0.6879 0.0641
4 O 0.8018 0.3074 0.4388
5 O 0.6890 0.8040 0.4289
6 O 0.6233 0.4821 0.7496
7 O 0.3149 0.8272 0.9329
8 O 0.1879 0.3064 0.9338
9 O 0.3104 0.1904 0.5586
10 O 0.3734 0.4807 0.2500
11 O 0.1808 0.6754 0.5516
12 O 0.6908 0.1822 0.0593
13 W 0.0016 0.0006 0.0053
14 Li 0.4999 0.1018 0.3074
15 Li 0.9977 0.4345 0.7074
16 Li 0.0032 0.5597 0.3007
17 Li 0.5007 0.0895 0.7732
18 Sb 0.9964 0.9952 0.5049
19 Sb 0.5011 0.5114 0.9999
20 Mn 0.4983 0.5082 0.4998


[9]
Material: Li4MnSbW2O12
Method: DFT, GGA+U
State: relaxed

Output
space-group type	P1

Unit cell a=5.1320 b=5.4226 c=7.6180 alpha=85.83 beta=89.31 gamma=89.79
Fractional coordinates of all 20 atoms:
1 O 0.8162 0.6843 0.0691
2 O 0.8775 0.0032 0.7509
3 O 0.1262 0.9898 0.2546
4 O 0.3672 0.4814 0.2301
5 O 0.6859 0.1852 0.0688
6 O 0.6934 0.8145 0.4421
7 O 0.2998 0.1904 0.5511
8 O 0.1798 0.6895 0.5512
9 O 0.6297 0.4806 0.7675
10 O 0.8041 0.3040 0.4440
11 O 0.3194 0.8118 0.9309
12 O 0.2027 0.3026 0.9223
13 Li 0.0020 0.4450 0.7154
14 Li 0.4977 0.0933 0.2982
15 Li 0.4940 0.0900 0.7713
16 Li 0.0028 0.5597 0.2938
17 Sb 0.0038 0.0020 0.0052
18 W 0.5064 0.5080 0.0005
19 W 0.9945 0.9981 0.5036
20 Mn 0.4973 0.5088 0.5006


[10]
Material: Li2ScMnO4
Method: DFT, GGA+U
State: relaxed

Output
space-group type	I-4m2

Unit cell a=4.2217 b=4.2217 c=5.3146 alpha=113.40 beta=113.40 gamma=90.00
Fractional coordinates of all 8 atoms:
1 O 0.2604 0.2604 0.5207
2 O 0.5236 0.0236 0.0472
3 O 0.9764 0.4764 0.9528
4 O 0.7396 0.7396 0.4793
5 Sc 0.5000 0.5000 0.0000
6 Li 0.0000 0.0001 0.0000
7 Li 0.2500 0.7499 0.5000
8 Mn 0.7500 0.2500 0.5000


[11]
Material: Li2MnSeO
Method: DFT, GGA+U
State: relaxed

Output
space-group type	P4/mmm

Unit cell a=4.0306 b=4.0306 c=4.2256 alpha=90.00 beta=90.00 gamma=90.00
Fractional coordinates of all 5 atoms:
1 Li 0.5000 0.0000 0.0000
2 Li 0.0000 0.5000 0.0000
3 O 0.0000 0.0000 0.0000
4 Se 0.5000 0.5000 0.5000
5 Mn 0.0000 0.0000 0.5000


[12]
Material: Li5Mn5Se8O24
Method: DFT, GGA+U
State: relaxed

Output
space-group type	P-1

Unit cell a=8.4765 b=10.6437 c=13.9801 alpha=81.86 beta=83.07 gamma=74.18
Fractional coordinates of all 84 atoms:
1 Mn 0.9039 0.3301 0.2235
2 Mn 0.0961 0.6699 0.7765
3 Mn 0.5622 0.2222 0.2193
4 Mn 0.9317 0.7763 0.2756
5 Mn 0.7465 0.4958 0.7480
6 Mn 0.2502 0.9981 0.2514
7 Mn 0.0683 0.2237 0.7244
8 Mn 0.2535 0.5042 0.2520
9 Mn 0.4378 0.7778 0.7807
10 Mn 0.7498 0.0019 0.7486
11 Li 0.4212 0.0831 0.6300
12 Li 0.5358 0.4212 0.4212
13 Li 0.5933 0.6848 0.2666
14 Li 0.9100 0.0699 0.1250
15 Li 0.9710 0.5841 0.0718
16 Li 0.4642 0.5788 0.5788
17 Li 0.4067 0.3152 0.7334
18 Li 0.0290 0.4159 0.9282
19 Li 0.5788 0.9169 0.3700
20 Li 0.0900 0.9301 0.8750
21 O 0.1365 0.1771 0.1922
22 O 0.3344 0.9156 0.8847
23 O 0.1539 0.6638 0.3485
24 O 0.5664 0.3917 0.5665
25 O 0.9109 0.9791 0.6344
26 O 0.5113 0.8503 0.5056
27 O 0.6775 0.8545 0.2264
28 O 0.2589 0.3946 0.8789
29 O 0.8461 0.3362 0.6515
30 O 0.9300 0.0944 0.8226
31 O 0.9134 0.3368 0.8484
32 O 0.0866 0.6632 0.1516
33 O 0.8213 0.1463 0.2669
34 O 0.7959 0.6401 0.3463
35 O 0.6584 0.6584 0.8528
36 O 0.4336 0.6083 0.4335
37 O 0.3087 0.6357 0.8529
38 O 0.4296 0.0935 0.3212
39 O 0.6656 0.0844 0.1153
40 O 0.5968 0.0191 0.8656
41 O 0.6327 0.1757 0.6875
42 O 0.7411 0.6054 0.1211
43 O 0.3416 0.3416 0.1472
44 O 0.0891 0.0209 0.3656
45 O 0.9832 0.1501 0.9968
46 O 0.8635 0.8229 0.8078
47 O 0.6913 0.3643 0.1471
48 O 0.7663 0.3927 0.3637
49 O 0.1730 0.0832 0.6216
50 O 0.2041 0.3599 0.6537
51 O 0.0478 0.3881 0.0786
52 O 0.1787 0.8537 0.7331
53 O 0.4192 0.3354 0.3442
54 O 0.4032 0.9809 0.1344
55 O 0.5396 0.4213 0.7958
56 O 0.9522 0.6119 0.9214
57 O 0.2337 0.6073 0.6363
58 O 0.4604 0.5787 0.2042
59 O 0.5808 0.6646 0.6558
60 O 0.9564 0.5699 0.7022
61 O 0.3673 0.8243 0.3125
62 O 0.0168 0.8499 0.0032
63 O 0.3225 0.1455 0.7736
64 O 0.5704 0.9065 0.6788
65 O 0.0700 0.9056 0.1774
66 O 0.0436 0.4301 0.2978
67 O 0.8270 0.9168 0.3784
68 O 0.4887 0.1497 0.4944
69 Se 0.6495 0.7977 0.5886
70 Se 0.1079 0.5169 0.6089
71 Se 0.1543 0.7977 0.0874
72 Se 0.5959 0.5282 0.1061
73 Se 0.2690 0.7359 0.4089
74 Se 0.6188 0.9369 0.1161
75 Se 0.3505 0.2023 0.4114
76 Se 0.7728 0.7344 0.9081
77 Se 0.8740 0.0624 0.3804
78 Se 0.2272 0.2656 0.0919
79 Se 0.7310 0.2641 0.5911
80 Se 0.8921 0.4831 0.3911
81 Se 0.1260 0.9376 0.6196
82 Se 0.8457 0.2023 0.9126
83 Se 0.3812 0.0631 0.8839
84 Se 0.4041 0.4718 0.8939


[13]
Material: LiMnSeO4
Method: DFT, GGA+U
State: relaxed

Output
space-group type	Cmcm

Unit cell a=5.8123 b=5.8123 c=5.8990 alpha=90.00 beta=90.00 gamma=116.57
Fractional coordinates of all 14 atoms:
1 O 0.7128 0.7142 0.2500
2 O 0.2858 0.2872 0.2500
3 O 0.2562 0.7438 0.0196
4 O 0.7438 0.2562 0.9804
5 O 0.2562 0.7438 0.4804
6 O 0.2872 0.2858 0.7500
7 O 0.7142 0.7128 0.7500
8 O 0.7438 0.2562 0.5196
9 Li 0.8619 0.1381 0.2500
10 Li 0.1381 0.8619 0.7500
11 Se 0.8463 0.1537 0.7500
12 Se 0.1537 0.8463 0.2500
13 Mn 0.5000 0.5000 0.5000
14 Mn 0.5000 0.5000 0.0000


| no. | final energy (eV for the cell shown) |
| --- | --- |
| 1 | -123.89 |
| 2 | -97.43 |
| 3 | -204.00 |
| 4 | -177.18 |
| 5 | -191.92 |
| 6 | -181.62 |
| 7 | -185.17 |
| 8 | -124.75 |
| 9 | -131.28 |
| 10 | -56.55 |
| 11 | -26.77 |
| 12 | -500.39 |
| 13 | -82.72 |